1.
Computed, not measured: a relaxed ZrSi crystal at the PBE level of DFT.

For the formation energy without anion corrections, the calculation gives 465 meV per atom. The energy comes out at -6.52 eV/atom. The space group is Pm-3n, No. 223.

Cell: 7.446 7.446 7.446 Å, 90.00 90.00 90.00°
Positions (direct):
Zr  0.000  0.250  0.500
Zr  0.000  0.750  0.500
Zr  0.250  0.500  0.000
Zr  0.500  0.000  0.250
Zr  0.500  0.000  0.750
Zr  0.750  0.500  0.000
Si  0.000  0.500  0.250
Si  0.000  0.500  0.750
Si  0.250  0.000  0.500
Si  0.500  0.250  0.000
Si  0.500  0.750  0.000
Si  0.750  0.000  0.500

=====

2.
Computed, not measured: a relaxed TcSnSbBrF crystal at the PBE level of DFT.

The excess energy over the best structure of this formula in the dataset comes out at 0.47 kcal/mol of atoms. For the formation energy without anion corrections, the calculation gives -569 meV per atom. The energy comes out at -4.98 eV/atom. The space group is Cm, No. 8.

Cell: 5.256 5.256 9.434 Å, 119.85 119.85 35.65°
Positions (direct):
Tc  0.000  0.000  0.000
Sn  0.284  0.284  0.022
Sb  0.652  0.652  0.278
Br  0.415  0.415  0.751
F  0.451  0.451  0.309

=====

3.
Computed, not measured: a relaxed Hf2ScFe crystal at the PBE level of DFT.

The excess energy over the best structure of this formula in the dataset comes out at 7.40 kcal/mol of atoms. Its formation energy is 201 meV/atom. The energy comes out at -8.47 eV/atom. The space group is I-42d, No. 122.

Cell: 6.052 6.052 6.052 Å, 102.87 102.87 123.68°
Positions (direct):
Hf  0.058  0.625  0.933
Hf  0.375  0.308  0.433
Hf  0.692  0.125  0.067
Hf  0.875  0.942  0.567
Sc  0.250  0.750  0.500
Sc  0.500  0.500  0.000
Fe  0.000  0.000  0.000
Fe  0.750  0.250  0.500

=====

4.
Computed, not measured: a relaxed CaFe2TeMo crystal at the PBE level of DFT.

For the formation energy without anion corrections, the calculation gives 620 meV per atom. The energy comes out at -5.96 eV/atom. The space group is P4/mmm, No. 123.

Cell: 4.634 4.634 5.323 Å, 90.00 90.00 90.00°
Positions (direct):
Ca  0.000  0.000  0.000
Fe  0.000  0.500  0.500
Fe  0.500  0.000  0.500
Te  0.500  0.500  0.000
Mo  0.500  0.500  0.500

=====

5.
Computed, not measured: a relaxed BaGa2H8 crystal at the PBE level of DFT.

The energy comes out at -3.34 eV/atom. The space group is C2/m, No. 12.

Cell: 5.185 5.185 6.828 Å, 112.31 112.31 59.90°
Positions (direct):
Ba  0.000  0.000  0.000
Ga  0.228  0.228  0.686
Ga  0.772  0.772  0.314
H  0.070  0.572  0.213
H  0.143  0.143  0.430
H  0.427  0.427  0.787
H  0.428  0.930  0.787
H  0.572  0.070  0.213
H  0.573  0.573  0.213
H  0.857  0.857  0.570
H  0.930  0.428  0.787

=====

6.
Computed, not measured: a relaxed BeNiAs2 crystal at the PBE level of DFT.

Its formation energy is 290 meV/atom. The energy comes out at -4.41 eV/atom. The space group is I4/mmm, No. 139.

Cell: 4.470 4.470 4.470 Å, 125.88 125.88 80.08°
Positions (direct):
Be  0.000  0.000  0.000
Ni  0.500  0.500  0.000
As  0.250  0.750  0.500
As  0.750  0.250  0.500

=====

7.
Computed, not measured: a relaxed Ba2InHg3Pd4 crystal at the PBE level of DFT.

Its formation energy is -456 meV/atom. The energy comes out at -3.28 eV/atom. The space group is P-4m2, No. 115.

Cell: 4.756 4.756 11.248 Å, 90.00 90.00 90.00°
Positions (direct):
Ba  0.000  0.500  0.236
Ba  0.500  0.000  0.764
In  0.000  0.000  0.500
Hg  0.000  0.500  0.870
Hg  0.500  0.000  0.130
Hg  0.500  0.500  0.500
Pd  0.000  0.000  0.000
Pd  0.000  0.500  0.627
Pd  0.500  0.000  0.373
Pd  0.500  0.500  0.000

=====

8.
Computed, not measured: a relaxed CoNi2Se crystal at the PBE level of DFT.

For the formation energy without anion corrections, the calculation gives 260 meV per atom. The energy comes out at -5.28 eV/atom. The space group is I-42d, No. 122.

Cell: 8.844 8.844 8.844 Å, 157.41 157.41 32.16°
Positions (direct):
Co  0.000  0.000  0.000
Co  0.750  0.250  0.500
Ni  0.122  0.625  0.997
Ni  0.375  0.372  0.497
Ni  0.628  0.125  0.003
Ni  0.875  0.878  0.503
Se  0.250  0.750  0.500
Se  0.500  0.500  0.000

=====

9.
Computed, not measured: a relaxed Ca2Pd13 crystal at the PBE level of DFT.

Its formation energy is 167 meV/atom. The energy comes out at -4.60 eV/atom. The space group is R-3m, No. 166.

Cell: 7.922 7.922 7.922 Å, 55.32 55.32 55.32°
Positions (direct):
Ca  0.242  0.242  0.242
Ca  0.758  0.758  0.758
Pd  0.000  0.000  0.000
Pd  0.015  0.015  0.647
Pd  0.015  0.647  0.015
Pd  0.244  0.244  0.613
Pd  0.244  0.613  0.244
Pd  0.353  0.985  0.985
Pd  0.387  0.756  0.756
Pd  0.613  0.244  0.244
Pd  0.647  0.015  0.015
Pd  0.756  0.387  0.756
Pd  0.756  0.756  0.387
Pd  0.985  0.353  0.985
Pd  0.985  0.985  0.353

=====

10.
Computed, not measured: a relaxed Pm2Al5Pd3 crystal at the PBE level of DFT.

Its formation energy is -799 meV/atom. The energy comes out at -5.18 eV/atom. The space group is Ibam, No. 72.

Cell: 8.728 8.728 8.728 Å, 106.67 86.22 141.18°
Positions (direct):
Pm  0.141  0.223  0.364
Pm  0.359  0.723  0.082
Pm  0.641  0.277  0.918
Pm  0.859  0.777  0.636
Al  0.038  0.750  0.288
Al  0.094  0.666  0.760
Al  0.250  0.250  0.000
Al  0.406  0.166  0.572
Al  0.462  0.750  0.712
Al  0.538  0.250  0.288
Al  0.594  0.834  0.428
Al  0.750  0.750  0.000
Al  0.906  0.334  0.240
Al  0.962  0.250  0.712
Pd  0.141  0.901  0.043
Pd  0.250  0.750  0.500
Pd  0.359  0.401  0.760
Pd  0.641  0.599  0.240
Pd  0.750  0.250  0.500
Pd  0.859  0.099  0.957

=====

11.
Computed, not measured: a relaxed CdBiF6 crystal at the PBE level of DFT.

For the formation energy without anion corrections, the calculation gives -2111 meV per atom. The energy comes out at -4.11 eV/atom. The space group is P-31c, No. 163.

Cell: 5.624 5.624 10.546 Å, 90.00 90.00 120.00°
Positions (direct):
Cd  0.333  0.667  0.250
Cd  0.667  0.333  0.750
Bi  0.000  0.000  0.000
Bi  0.000  0.000  0.500
F  0.040  0.330  0.121
F  0.040  0.710  0.379
F  0.290  0.330  0.379
F  0.290  0.960  0.121
F  0.330  0.040  0.621
F  0.330  0.290  0.879
F  0.670  0.710  0.121
F  0.670  0.960  0.379
F  0.710  0.040  0.879
F  0.710  0.670  0.621
F  0.960  0.290  0.621
F  0.960  0.670  0.879

=====

12.
Computed, not measured: a relaxed Li3HgPb crystal at the PBE level of DFT.

The excess energy over the best structure of this formula in the dataset comes out at 0.14 kcal/mol of atoms. Its formation energy is -287 meV/atom. The energy comes out at -2.24 eV/atom. The space group is C2/m, No. 12.

Cell: 7.439 7.439 5.863 Å, 99.31 99.31 38.65°
Positions (direct):
Li  0.000  0.000  0.243
Li  0.000  0.000  0.757
Li  0.207  0.207  0.061
Li  0.405  0.405  0.347
Li  0.595  0.595  0.653
Li  0.793  0.793  0.939
Hg  0.175  0.175  0.570
Hg  0.825  0.825  0.430
Pb  0.394  0.394  0.845
Pb  0.606  0.606  0.155

=====

- Among the records above, which one has the lowest energy?
  Hf2ScFe

=====

Copy entry 7 word for word.
Computed, not measured: a relaxed Ba2InHg3Pd4 crystal at the PBE level of DFT.

Its formation energy is -456 meV/atom. The energy comes out at -3.28 eV/atom. The space group is P-4m2, No. 115.

Cell: 4.756 4.756 11.248 Å, 90.00 90.00 90.00°
Positions (direct):
Ba  0.000  0.500  0.236
Ba  0.500  0.000  0.764
In  0.000  0.000  0.500
Hg  0.000  0.500  0.870
Hg  0.500  0.000  0.130
Hg  0.500  0.500  0.500
Pd  0.000  0.000  0.000
Pd  0.000  0.500  0.627
Pd  0.500  0.000  0.373
Pd  0.500  0.500  0.000

=====

What did the eleventh record say?
Computed, not measured: a relaxed CdBiF6 crystal at the PBE level of DFT.

For the formation energy without anion corrections, the calculation gives -2111 meV per atom. The energy comes out at -4.11 eV/atom. The space group is P-31c, No. 163.

Cell: 5.624 5.624 10.546 Å, 90.00 90.00 120.00°
Positions (direct):
Cd  0.333  0.667  0.250
Cd  0.667  0.333  0.750
Bi  0.000  0.000  0.000
Bi  0.000  0.000  0.500
F  0.040  0.330  0.121
F  0.040  0.710  0.379
F  0.290  0.330  0.379
F  0.290  0.960  0.121
F  0.330  0.040  0.621
F  0.330  0.290  0.879
F  0.670  0.710  0.121
F  0.670  0.960  0.379
F  0.710  0.040  0.879
F  0.710  0.670  0.621
F  0.960  0.290  0.621
F  0.960  0.670  0.879